Here is an optimized crystal structure of CsAlOs3 from Alexandria. Energies are from PBE.

```
data_CsAlOs3
_cell_length_a 4.968
_cell_length_b 4.968
_cell_length_c 4.968
_cell_angle_alpha 90.00
_cell_angle_beta 90.00
_cell_angle_gamma 90.00
_space_group_name_H-M_alt 'P 1'
_space_group_IT_number 1
_space_group_name_Hall 'P 1'
loop_
_atom_site_label
_atom_site_type_symbol
_atom_site_fract_x
_atom_site_fract_y
_atom_site_fract_z
Cs1 Cs 0.000 0.000 0.000
Al1 Al 0.500 0.500 0.500
Os1 Os 0.000 0.000 0.500
Os2 Os 0.000 0.500 0.000
Os3 Os 0.500 0.000 0.000
```

Calculated values
Its space group is Pm-3m, No. 221. The energy above the lowest structure with this stoichiometry is 1.787 eV per atom. The calculation puts the calculated formation energy at 3.92 eV per atom.